Entry 1:
# Cu2ReBr (PBE, relaxed)
data_Cu2ReBr
_chemical_formula_sum 'Cu2 Re1 Br1'
_symmetry_space_group_name_H-M 'P 4 m m'
_symmetry_Int_Tables_number 99
_symmetry_space_group_name_Hall 'P 4 -2'
_cell_length_a 2.9745
_cell_length_b 2.9745
_cell_length_c 7.5232
_cell_angle_alpha 90.00
_cell_angle_beta 90.00
_cell_angle_gamma 90.00
loop_
_atom_site_label
_atom_site_fract_x
_atom_site_fract_y
_atom_site_fract_z
Cu1 0.0000 0.0000 0.0000
Cu2 0.5000 0.5000 0.1718
Re1 0.0000 0.0000 0.3842
Br1 0.5000 0.5000 0.6100
# energy relative to the elements, uncorrected	738	meV per atom
# excess energy over the best structure of this formula in the dataset	0.180	eV/atom

Entry 2:
# CuReBr3 (PBE, relaxed)
data_CuReBr3
_chemical_formula_sum 'Cu1 Re1 Br3'
_symmetry_space_group_name_H-M 'P m -3 m'
_symmetry_Int_Tables_number 221
_symmetry_space_group_name_Hall '-P 4 2 3'
_cell_length_a 5.0603
_cell_length_b 5.0603
_cell_length_c 5.0603
_cell_angle_alpha 90.00
_cell_angle_beta 90.00
_cell_angle_gamma 90.00
loop_
_atom_site_label
_atom_site_fract_x
_atom_site_fract_y
_atom_site_fract_z
Cu1 0.0000 0.0000 0.0000
Re1 0.5000 0.5000 0.5000
Br1 0.0000 0.0000 0.5000
# energy relative to the elements, uncorrected	978	meV per atom

Entry 3:
# CuReBr2 (PBE, relaxed)
data_CuReBr2
_chemical_formula_sum 'Cu2 Re2 Br4'
_symmetry_space_group_name_H-M 'C m m m'
_symmetry_Int_Tables_number 65
_symmetry_space_group_name_Hall '-C 2 2'
_cell_length_a 6.3167
_cell_length_b 8.2509
_cell_length_c 3.0466
_cell_angle_alpha 90.00
_cell_angle_beta 90.00
_cell_angle_gamma 90.00
loop_
_atom_site_label
_atom_site_fract_x
_atom_site_fract_y
_atom_site_fract_z
Cu1 0.0000 0.0000 0.0000
Re1 0.0000 0.5000 0.0000
Br1 0.2500 0.2500 0.0000
# energy relative to the elements, uncorrected	1019	meV per atom
# excess energy over the best structure of this formula in the dataset	0.636	eV/atom

Entry 4:
# Cu2ReBr (PBE, relaxed)
data_Cu2ReBr
_chemical_formula_sum 'Cu6 Re3 Br3'
_symmetry_space_group_name_H-M 'R -3 m'
_symmetry_Int_Tables_number 166
_symmetry_space_group_name_Hall '-R 3 2"'
_cell_length_a 2.9111
_cell_length_b 2.9111
_cell_length_c 25.5649
_cell_angle_alpha 90.00
_cell_angle_beta 90.00
_cell_angle_gamma 120.00
loop_
_atom_site_label
_atom_site_fract_x
_atom_site_fract_y
_atom_site_fract_z
Cu1 0.0000 0.0000 0.2458
Re1 0.0000 0.0000 0.5000
Br1 0.0000 0.0000 0.0000
# energy relative to the elements, uncorrected	592	meV per atom
# excess energy over the best structure of this formula in the dataset	0.034	eV/atom

Entry 5:
# Cu2ReBr (PBE, relaxed)
data_Cu2ReBr
_chemical_formula_sum 'Cu8 Re4 Br4'
_symmetry_space_group_name_H-M 'F -4 3 m'
_symmetry_Int_Tables_number 216
_symmetry_space_group_name_Hall 'F -4 2 3'
_cell_length_a 6.2002
_cell_length_b 6.2002
_cell_length_c 6.2002
_cell_angle_alpha 90.00
_cell_angle_beta 90.00
_cell_angle_gamma 90.00
loop_
_atom_site_label
_atom_site_fract_x
_atom_site_fract_y
_atom_site_fract_z
Cu1 0.0000 0.0000 0.0000
Cu2 0.2500 0.2500 0.2500
Re1 0.2500 0.2500 0.7500
Br1 0.0000 0.0000 0.5000
# energy relative to the elements, uncorrected	1128	meV per atom
# excess energy over the best structure of this formula in the dataset	0.570	eV/atom

Entry 6:
# Cu2ReBr (PBE, relaxed)
data_Cu2ReBr
_chemical_formula_sum 'Cu4 Re2 Br2'
_symmetry_space_group_name_H-M 'I -4 m 2'
_symmetry_Int_Tables_number 119
_symmetry_space_group_name_Hall 'I -4 -2'
_cell_length_a 3.7816
_cell_length_b 3.7816
_cell_length_c 8.3519
_cell_angle_alpha 90.00
_cell_angle_beta 90.00
_cell_angle_gamma 90.00
loop_
_atom_site_label
_atom_site_fract_x
_atom_site_fract_y
_atom_site_fract_z
Cu1 0.0000 0.0000 0.0000
Cu2 0.0000 0.5000 0.2500
Re1 0.0000 0.5000 0.7500
Br1 0.0000 0.0000 0.5000
# energy relative to the elements, uncorrected	1088	meV per atom
# excess energy over the best structure of this formula in the dataset	0.530	eV/atom

Entry 7:
# Cu4ReBr (PBE, relaxed)
data_Cu4ReBr
_chemical_formula_sum 'Cu16 Re4 Br4'
_symmetry_space_group_name_H-M 'F -4 3 m'
_symmetry_Int_Tables_number 216
_symmetry_space_group_name_Hall 'F -4 2 3'
_cell_length_a 7.0093
_cell_length_b 7.0093
_cell_length_c 7.0093
_cell_angle_alpha 90.00
_cell_angle_beta 90.00
_cell_angle_gamma 90.00
loop_
_atom_site_label
_atom_site_fract_x
_atom_site_fract_y
_atom_site_fract_z
Cu1 0.1244 0.1244 0.1244
Re1 0.2500 0.2500 0.7500
Br1 0.0000 0.0000 0.5000
# energy relative to the elements, uncorrected	811	meV per atom

Entry 8:
# CuReBr2 (PBE, relaxed)
data_CuReBr2
_chemical_formula_sum 'Cu1 Re1 Br2'
_symmetry_space_group_name_H-M 'P 1 m 1'
_symmetry_Int_Tables_number 6
_symmetry_space_group_name_Hall 'P -2y'
_cell_length_a 3.5264
_cell_length_b 3.2854
_cell_length_c 8.1644
_cell_angle_alpha 90.00
_cell_angle_beta 102.29
_cell_angle_gamma 90.00
loop_
_atom_site_label
_atom_site_fract_x
_atom_site_fract_y
_atom_site_fract_z
Cu1 0.0000 0.0000 0.0000
Re1 0.4436 0.5000 0.8858
Br1 0.3273 0.0000 0.6493
Br2 0.5984 0.5000 0.2030
# energy relative to the elements, uncorrected	383	meV per atom
# excess energy over the best structure of this formula in the dataset	0.000	eV/atom

Entry 9:
# CuReBr (PBE, relaxed)
data_CuReBr
_chemical_formula_sum 'Cu1 Re1 Br1'
_symmetry_space_group_name_H-M 'P -6 m 2'
_symmetry_Int_Tables_number 187
_symmetry_space_group_name_Hall 'P -6 2'
_cell_length_a 4.4515
_cell_length_b 4.4515
_cell_length_c 2.8063
_cell_angle_alpha 90.00
_cell_angle_beta 90.00
_cell_angle_gamma 120.00
loop_
_atom_site_label
_atom_site_fract_x
_atom_site_fract_y
_atom_site_fract_z
Cu1 0.0000 0.0000 0.0000
Re1 0.6667 0.3333 0.5000
Br1 0.3333 0.6667 0.5000
# energy relative to the elements, uncorrected	1155	meV per atom
# excess energy over the best structure of this formula in the dataset	0.358	eV/atom

Entry 10:
# Cu2ReBr (PBE, relaxed)
data_Cu2ReBr
_chemical_formula_sum 'Cu4 Re2 Br2'
_symmetry_space_group_name_H-M 'C m m m'
_symmetry_Int_Tables_number 65
_symmetry_space_group_name_Hall '-C 2 2'
_cell_length_a 5.2422
_cell_length_b 8.3249
_cell_length_c 2.7760
_cell_angle_alpha 90.00
_cell_angle_beta 90.00
_cell_angle_gamma 90.00
loop_
_atom_site_label
_atom_site_fract_x
_atom_site_fract_y
_atom_site_fract_z
Cu1 0.2500 0.2500 0.0000
Re1 0.0000 0.0000 0.5000
Br1 0.0000 0.5000 0.5000
# energy relative to the elements, uncorrected	875	meV per atom
# excess energy over the best structure of this formula in the dataset	0.317	eV/atom

Entry 11:
# CuReBr (PBE, relaxed)
data_CuReBr
_chemical_formula_sum 'Cu1 Re1 Br1'
_symmetry_space_group_name_H-M 'P 3 m 1'
_symmetry_Int_Tables_number 156
_symmetry_space_group_name_Hall 'P 3 -2"'
_cell_length_a 3.0137
_cell_length_b 3.0137
_cell_length_c 6.3225
_cell_angle_alpha 90.00
_cell_angle_beta 90.00
_cell_angle_gamma 120.00
loop_
_atom_site_label
_atom_site_fract_x
_atom_site_fract_y
_atom_site_fract_z
Cu1 0.0000 0.0000 0.0000
Re1 0.6667 0.3333 0.3046
Br1 0.3333 0.6667 0.6169
# energy relative to the elements, uncorrected	797	meV per atom
# excess energy over the best structure of this formula in the dataset	0.000	eV/atom

Entry 12:
# CuReBr2 (PBE, relaxed)
data_CuReBr2
_chemical_formula_sum 'Cu4 Re4 Br8'
_symmetry_space_group_name_H-M 'I -4 2 d'
_symmetry_Int_Tables_number 122
_symmetry_space_group_name_Hall 'I -4 2bw'
_cell_length_a 5.9589
_cell_length_b 5.9589
_cell_length_c 10.1503
_cell_angle_alpha 90.00
_cell_angle_beta 90.00
_cell_angle_gamma 90.00
loop_
_atom_site_label
_atom_site_fract_x
_atom_site_fract_y
_atom_site_fract_z
Cu1 0.0000 0.0000 0.0000
Re1 0.0000 0.0000 0.5000
Br1 0.2471 0.2500 0.1250
# energy relative to the elements, uncorrected	1069	meV per atom
# excess energy over the best structure of this formula in the dataset	0.686	eV/atom

Entry 13:
# CuReBr (PBE, relaxed)
data_CuReBr
_chemical_formula_sum 'Cu2 Re2 Br2'
_symmetry_space_group_name_H-M 'I 4 m m'
_symmetry_Int_Tables_number 107
_symmetry_space_group_name_Hall 'I 4 -2'
_cell_length_a 2.9794
_cell_length_b 2.9794
_cell_length_c 12.5531
_cell_angle_alpha 90.00
_cell_angle_beta 90.00
_cell_angle_gamma 90.00
loop_
_atom_site_label
_atom_site_fract_x
_atom_site_fract_y
_atom_site_fract_z
Cu1 0.0000 0.0000 0.0000
Re1 0.0000 0.0000 0.3799
Br1 0.0000 0.0000 0.7425
# energy relative to the elements, uncorrected	933	meV per atom
# excess energy over the best structure of this formula in the dataset	0.136	eV/atom

Entry 14:
# CuRe2Br (PBE, relaxed)
data_CuRe2Br
_chemical_formula_sum 'Cu4 Re8 Br4'
_symmetry_space_group_name_H-M 'F m -3 m'
_symmetry_Int_Tables_number 225
_symmetry_space_group_name_Hall '-F 4 2 3'
_cell_length_a 6.1568
_cell_length_b 6.1568
_cell_length_c 6.1568
_cell_angle_alpha 90.00
_cell_angle_beta 90.00
_cell_angle_gamma 90.00
loop_
_atom_site_label
_atom_site_fract_x
_atom_site_fract_y
_atom_site_fract_z
Cu1 0.0000 0.0000 0.0000
Re1 0.2500 0.2500 0.2500
Br1 0.0000 0.0000 0.5000
# energy relative to the elements, uncorrected	1313	meV per atom
# excess energy over the best structure of this formula in the dataset	0.846	eV/atom

Entry 15:
# CuReBr2 (PBE, relaxed)
data_CuReBr2
_chemical_formula_sum 'Cu2 Re2 Br4'
_symmetry_space_group_name_H-M 'C m m m'
_symmetry_Int_Tables_number 65
_symmetry_space_group_name_Hall '-C 2 2'
_cell_length_a 3.0365
_cell_length_b 5.7239
_cell_length_c 9.4297
_cell_angle_alpha 90.00
_cell_angle_beta 90.00
_cell_angle_gamma 90.00
loop_
_atom_site_label
_atom_site_fract_x
_atom_site_fract_y
_atom_site_fract_z
Cu1 0.0000 0.0000 0.0000
Re1 0.0000 0.0000 0.5000
Br1 0.0000 0.5000 0.2830
# energy relative to the elements, uncorrected	921	meV per atom
# excess energy over the best structure of this formula in the dataset	0.537	eV/atom

Entry 16:
# CuRe2Br (PBE, relaxed)
data_CuRe2Br
_chemical_formula_sum 'Cu1 Re2 Br1'
_symmetry_space_group_name_H-M 'P 4 m m'
_symmetry_Int_Tables_number 99
_symmetry_space_group_name_Hall 'P 4 -2'
_cell_length_a 3.0276
_cell_length_b 3.0276
_cell_length_c 7.2996
_cell_angle_alpha 90.00
_cell_angle_beta 90.00
_cell_angle_gamma 90.00
loop_
_atom_site_label
_atom_site_fract_x
_atom_site_fract_y
_atom_site_fract_z
Cu1 0.0000 0.0000 0.0000
Re1 0.0000 0.0000 0.4420
Re2 0.5000 0.5000 0.2454
Br1 0.5000 0.5000 0.7380
# energy relative to the elements, uncorrected	605	meV per atom
# excess energy over the best structure of this formula in the dataset	0.139	eV/atom

Entry 17:
# CuRe2Br (PBE, relaxed)
data_CuRe2Br
_chemical_formula_sum 'Cu2 Re4 Br2'
_symmetry_space_group_name_H-M 'I -4 m 2'
_symmetry_Int_Tables_number 119
_symmetry_space_group_name_Hall 'I -4 -2'
_cell_length_a 4.2075
_cell_length_b 4.2075
_cell_length_c 7.0020
_cell_angle_alpha 90.00
_cell_angle_beta 90.00
_cell_angle_gamma 90.00
loop_
_atom_site_label
_atom_site_fract_x
_atom_site_fract_y
_atom_site_fract_z
Cu1 0.0000 0.0000 0.0000
Re1 0.0000 0.0000 0.5000
Re2 0.0000 0.5000 0.7500
Br1 0.0000 0.5000 0.2500
# energy relative to the elements, uncorrected	1126	meV per atom
# excess energy over the best structure of this formula in the dataset	0.660	eV/atom

Entry 18:
# CuReBr2 (PBE, relaxed)
data_CuReBr2
_chemical_formula_sum 'Cu1 Re1 Br2'
_symmetry_space_group_name_H-M 'P 1 2/m 1'
_symmetry_Int_Tables_number 10
_symmetry_space_group_name_Hall '-P 2y'
_cell_length_a 3.0471
_cell_length_b 4.2176
_cell_length_c 6.0346
_cell_angle_alpha 90.00
_cell_angle_beta 100.63
_cell_angle_gamma 90.00
loop_
_atom_site_label
_atom_site_fract_x
_atom_site_fract_y
_atom_site_fract_z
Cu1 0.0000 0.0000 0.0000
Re1 0.0000 0.0000 0.5000
Br1 0.1587 0.5000 0.7470
# energy relative to the elements, uncorrected	891	meV per atom
# excess energy over the best structure of this formula in the dataset	0.508	eV/atom

Entry 19:
# CuRe2Br (PBE, relaxed)
data_CuRe2Br
_chemical_formula_sum 'Cu3 Re6 Br3'
_symmetry_space_group_name_H-M 'R -3 m'
_symmetry_Int_Tables_number 166
_symmetry_space_group_name_Hall '-R 3 2"'
_cell_length_a 2.8838
_cell_length_b 2.8838
_cell_length_c 25.6085
_cell_angle_alpha 90.00
_cell_angle_beta 90.00
_cell_angle_gamma 120.00
loop_
_atom_site_label
_atom_site_fract_x
_atom_site_fract_y
_atom_site_fract_z
Cu1 0.0000 0.0000 0.0000
Re1 0.0000 0.0000 0.2525
Br1 0.0000 0.0000 0.5000
# energy relative to the elements, uncorrected	1011	meV per atom
# excess energy over the best structure of this formula in the dataset	0.544	eV/atom

Entry 20:
# CuRe2Br (PBE, relaxed)
data_CuRe2Br
_chemical_formula_sum 'Cu2 Re4 Br2'
_symmetry_space_group_name_H-M 'C 1 2/m 1'
_symmetry_Int_Tables_number 12
_symmetry_space_group_name_Hall '-C 2y'
_cell_length_a 5.2328
_cell_length_b 10.0478
_cell_length_c 3.1058
_cell_angle_alpha 90.00
_cell_angle_beta 126.05
_cell_angle_gamma 90.00
loop_
_atom_site_label
_atom_site_fract_x
_atom_site_fract_y
_atom_site_fract_z
Cu1 0.0000 0.0000 0.0000
Re1 0.2500 0.2500 0.0000
Br1 0.0000 0.5000 0.0000
# energy relative to the elements, uncorrected	1107	meV per atom
# excess energy over the best structure of this formula in the dataset	0.640	eV/atom